1.
Zr4CoSbC2, relaxed, DFT PBE-GGA; space-group type = P-6m2, No. 187; raw total energy = -8.5376 eV/atom; size of the total moment = 0.53 μB/f.u.
1.0
3.338 0.000 0.000
-1.669 2.891 0.000
0.000 0.000 13.759
Zr Co Sb C
4 1 1 2
direct
0.000 0.000 0.138
0.000 0.000 0.862
0.667 0.333 0.328
0.667 0.333 0.672
0.667 0.333 0.000
0.000 0.000 0.500
0.333 0.667 0.237
0.333 0.667 0.763

2.
LaAl5FeCu, relaxed, DFT PBE-GGA; space-group type = Imm2, No. 44; raw total energy = -4.8427 eV/atom; size of the total moment = 0.02 μB/f.u.
1.0
-1.997 3.579 4.856
1.997 -3.579 4.856
1.997 3.579 -4.856
La Al Fe Cu
1 5 1 1
direct
0.000 0.000 0.000
0.157 0.339 0.817
0.459 0.653 0.805
0.497 0.997 0.500
0.522 0.339 0.183
0.848 0.653 0.195
0.261 0.761 0.500
0.742 0.242 0.500

3.
HfInCuSe2S, relaxed, DFT PBE-GGA; space-group type = Cmcm, No. 63; raw total energy = -5.4469 eV/atom; size of the total moment = 0.00 μB/f.u.
1.0
1.892 -7.152 0.000
1.892 7.152 0.000
0.000 0.000 9.805
Hf In Cu Se S
2 2 2 4 2
direct
0.000 0.000 0.000
0.000 0.000 0.500
0.259 0.741 0.750
0.741 0.259 0.250
0.467 0.533 0.250
0.533 0.467 0.750
0.369 0.631 0.047
0.369 0.631 0.453
0.631 0.369 0.547
0.631 0.369 0.953
0.061 0.939 0.250
0.939 0.061 0.750

4.
KErO3, relaxed, DFT PBE-GGA; space-group type = R-3c, No. 167; raw total energy = -6.0136 eV/atom; size of the total moment = 2.00 μB/f.u.
1.0
3.093 1.786 5.038
-3.093 1.786 5.038
0.000 -3.572 5.038
K Er O
2 2 6
direct
0.250 0.250 0.250
0.750 0.750 0.750
0.000 0.000 0.000
0.500 0.500 0.500
0.218 0.750 0.282
0.250 0.718 0.782
0.282 0.218 0.750
0.718 0.782 0.250
0.750 0.282 0.218
0.782 0.250 0.718

5.
Ta4Co9, relaxed, DFT PBE-GGA; space-group type = R-3m, No. 166; relative energy among the computed polymorphs = 0 meV per atom; formation energy = -142 meV per atom; size of the total moment = 7.59 μB/f.u.
1.0
2.374 1.371 8.423
-2.374 1.371 8.423
0.000 -2.741 8.423
Ta Co
4 9
direct
0.143 0.143 0.143
0.335 0.335 0.335
0.665 0.665 0.665
0.857 0.857 0.857
0.045 0.045 0.045
0.085 0.592 0.592
0.408 0.408 0.915
0.408 0.915 0.408
0.500 0.500 0.500
0.592 0.085 0.592
0.592 0.592 0.085
0.915 0.408 0.408
0.955 0.955 0.955

6.
TlCuSe2, relaxed, DFT PBE-GGA; space-group type = I-42d, No. 122; raw total energy = -3.5052 eV/atom
1.0
-2.976 2.976 5.992
2.976 -2.976 5.992
2.976 2.976 -5.992
Tl Cu Se
2 2 4
direct
0.000 0.000 0.000
0.750 0.250 0.500
0.250 0.750 0.500
0.500 0.500 0.000
0.173 0.625 0.048
0.375 0.423 0.548
0.577 0.125 0.952
0.875 0.827 0.452

7.
Cs3NaSb2Au2, relaxed, DFT PBE-GGA; space-group type = Pm, No. 6; raw total energy = -2.7981 eV/atom
1.0
6.797 0.000 0.000
0.000 7.046 0.000
-2.264 0.000 6.708
Cs Na Sb Au
3 1 2 2
direct
0.000 0.000 0.000
0.037 0.500 0.303
0.356 0.000 0.677
0.652 0.500 0.598
0.327 0.500 0.889
0.763 0.000 0.429
0.525 0.254 0.176
0.525 0.746 0.176

8.
PrSmBe2Si2, relaxed, DFT PBE-GGA; space-group type = P-3m1, No. 164; raw total energy = -5.2389 eV/atom; size of the total moment = 0.01 μB/f.u.
1.0
3.949 0.000 0.000
-1.975 3.420 0.000
0.000 0.000 8.462
Pr Sm Be Si
1 1 2 2
direct
0.000 0.000 0.000
0.000 0.000 0.500
0.333 0.667 0.255
0.667 0.333 0.745
0.333 0.667 0.743
0.667 0.333 0.257